DFT (PBE) results for a relaxed KNa3Pd8 crystal.

Unit cell a=9.449 b=9.449 c=9.449 alpha=33.41 beta=33.41 gamma=33.41
Atoms (fractional coordinates):
K  0.000  0.000  0.000
Na  0.127  0.127  0.127
Na  0.500  0.500  0.500
Na  0.624  0.624  0.624
Pd  0.062  0.062  0.559
Pd  0.062  0.559  0.062
Pd  0.066  0.564  0.564
Pd  0.313  0.313  0.313
Pd  0.559  0.062  0.062
Pd  0.564  0.066  0.564
Pd  0.564  0.564  0.066
Pd  0.813  0.813  0.813

Calculated values
SG ... R3m, No. 160
Calculated formation energy ... -0.117 eV/atom

***

DFT (PBE) results for a relaxed HoEr2In crystal.

Unit cell a=5.407 b=5.407 c=5.407 alpha=60.00 beta=60.00 gamma=60.00
Atoms (fractional coordinates):
Ho  0.000  0.000  0.000
Er  0.250  0.250  0.250
Er  0.750  0.750  0.750
In  0.500  0.500  0.500

Calculated values
SG ... Fm-3m, No. 225
ΔE to the lowest computed polymorph ... 59 kJ/mol of formula units
Calculated formation energy ... -0.111 eV/atom

***

DFT (PBE) results for a relaxed NaInHgCl4 crystal.

Unit cell a=8.597 b=8.597 c=8.578 alpha=100.79 beta=100.79 gamma=53.49
Atoms (fractional coordinates):
Na  0.202  0.202  0.353
Na  0.798  0.798  0.647
In  0.133  0.133  0.770
In  0.867  0.867  0.230
Hg  0.437  0.437  0.805
Hg  0.563  0.563  0.195
Cl  0.020  0.020  0.213
Cl  0.077  0.603  0.397
Cl  0.230  0.230  0.025
Cl  0.397  0.923  0.603
Cl  0.603  0.077  0.397
Cl  0.770  0.770  0.975
Cl  0.923  0.397  0.603
Cl  0.980  0.980  0.787

Calculated values
SG ... C2/m, No. 12
Uncorrected formation energy ... -1097 meV/atom

***

DFT (PBE) results for a relaxed LiAc4In2 crystal.

Unit cell a=9.738 b=9.738 c=9.738 alpha=34.22 beta=34.22 gamma=34.22
Atoms (fractional coordinates):
Li  0.000  0.000  0.000
Ac  0.129  0.129  0.129
Ac  0.382  0.382  0.382
Ac  0.618  0.618  0.618
Ac  0.871  0.871  0.871
In  0.255  0.255  0.255
In  0.745  0.745  0.745

Calculated values
SG ... R-3m, No. 166
ΔE to the lowest computed polymorph ... 0 kJ/mol of formula units
Calculated formation energy ... -0.189 eV/atom

***

DFT (PBE) results for a relaxed LaCd2NiI crystal.

Unit cell a=5.122 b=5.122 c=5.184 alpha=90.00 beta=90.00 gamma=90.00
Atoms (fractional coordinates):
La  0.000  0.000  0.000
Cd  0.000  0.500  0.500
Cd  0.500  0.000  0.500
Ni  0.000  0.000  0.500
I  0.500  0.500  0.000

Calculated values
SG ... P4/mmm, No. 123
Uncorrected formation energy ... -466 meV/atom

***

DFT (PBE) results for a relaxed CaMgBr2 crystal.

Unit cell a=6.658 b=6.658 c=6.658 alpha=144.62 beta=121.03 gamma=70.68
Atoms (fractional coordinates):
Ca  0.000  0.000  0.000
Mg  0.500  0.500  0.000
Br  0.182  0.682  0.500
Br  0.818  0.318  0.500

Calculated values
SG ... Immm, No. 71
ΔE to the lowest computed polymorph ... 61 kJ/mol of formula units
Uncorrected formation energy ... -1079 meV/atom

***

DFT (PBE) results for a relaxed PrErAlAg crystal.

Unit cell a=5.242 b=5.242 c=5.242 alpha=60.00 beta=60.00 gamma=60.00
Atoms (fractional coordinates):
Pr  0.000  0.000  0.000
Er  0.500  0.500  0.500
Al  0.250  0.250  0.250
Ag  0.750  0.750  0.750

Calculated values
SG ... F-43m, No. 216
ΔE to the lowest computed polymorph ... 17 kJ/mol of formula units
Calculated formation energy ... -0.299 eV/atom

***

DFT (PBE) results for a relaxed La2Pm13 crystal.

Unit cell a=10.010 b=10.010 c=10.010 alpha=55.40 beta=55.40 gamma=55.40
Atoms (fractional coordinates):
La  0.244  0.244  0.244
La  0.756  0.756  0.756
Pm  0.000  0.000  0.000
Pm  0.011  0.011  0.647
Pm  0.011  0.647  0.011
Pm  0.238  0.238  0.610
Pm  0.238  0.610  0.238
Pm  0.353  0.989  0.989
Pm  0.390  0.762  0.762
Pm  0.610  0.238  0.238
Pm  0.647  0.011  0.011
Pm  0.762  0.390  0.762
Pm  0.762  0.762  0.390
Pm  0.989  0.353  0.989
Pm  0.989  0.989  0.353

Calculated values
SG ... R-3m, No. 166
ΔE to the lowest computed polymorph ... 580 kJ/mol of formula units
Calculated formation energy ... 0.555 eV/atom